Entry from the Alexandria database: crystalline Li2MnCoO4 at its relaxed geometry (PBE with a Hubbard U).

VASP energy, eV/atom: -6.13
Symmetry: C2/c (15)
Offset from the most stable computed form, kJ per mole of atoms: 0.5

a b c (Å): 5.953 5.953 5.069
angles (deg): 106.78 106.78 60.09
Fractional coordinates of all 16 atoms:
Li  0.119  0.380  0.260
Li  0.380  0.119  0.760
Li  0.620  0.881  0.240
Li  0.881  0.620  0.740
Mn  0.374  0.626  0.750
Mn  0.626  0.374  0.250
Co  0.122  0.878  0.250
Co  0.878  0.122  0.750
O  0.030  0.740  0.520
O  0.260  0.970  0.980
O  0.280  0.497  0.995
O  0.497  0.280  0.495
O  0.503  0.720  0.505
O  0.720  0.503  0.005
O  0.740  0.030  0.020
O  0.970  0.260  0.480